ZnGe2PbSe6: relaxed, PBE.

```
20
Lattice="-3.7822 -2.4075 -5.5467 4.8543 -7.3671 -3.2001 -6.1319 -6.0527 3.7208" Properties=species:S:1:pos:R:3 pbc="T T T"
Zn -4.5266 -6.9598 0.7272
Zn -0.5332 -8.8676 -5.7532
Ge -1.2091 -10.1597 -1.7794
Ge -0.3618 -4.6550 -1.4799
Ge -3.8508 -5.6676 -3.2466
Ge -4.6980 -11.1723 -3.5461
Pb 2.5165 -7.8024 -3.7097
Pb -7.5763 -8.0249 -1.3163
Se -1.0447 -12.4628 -1.1091
Se -0.5011 -2.3550 -2.1659
Se -4.0152 -3.3646 -3.9169
Se -4.5588 -13.4723 -2.8601
Se 0.2223 -9.8811 -3.6867
Se 1.8911 -5.3745 -1.8935
Se -5.2821 -5.9462 -1.3393
Se -6.9510 -10.4529 -3.1326
Se -0.1283 -8.5800 -0.2665
Se -1.5294 -6.2243 -2.9380
Se -4.9315 -7.2473 -4.7595
Se -3.5304 -9.6030 -2.0880
```

E_tot	-3.822	eV/atom
volume	586.7	Å³/cell
calculated density	5.0	g/cm³
symmetry	C2/c, No. 15
spin magnetization	0.000	μB per atom